First-principles (GGA+U) data for a relaxed TiMnBr2F crystal, as listed in Alexandria via LeMat-Bulk.

The calculation puts the final energy at -23.2 eV for the cell shown.

Geometry as extended XYZ:
```
5
Lattice="-4.9123 0.6917 2.7664 1.1010 -2.4892 2.5774 2.3126 4.1902 3.0588" Properties=species:S:1:pos:R:3 pbc="T T T"
F 0.0000 0.0000 0.0000
Mn 0.5505 -1.2446 1.2887
Br 1.1563 2.0951 1.5294
Br -2.4562 0.3459 1.3832
Ti -0.7494 1.1963 4.2013
```